# 1
Computed, not measured: an optimized crystal structure of NaVIn at the PBE level of DFT.

Summary:
The energy relative to the elements comes out at 54.2 meV/atom. The calculated volume comes out at 21.9 Å³ per atom. As for the space group: No. 129. The value obtained for the raw total energy is -4.338 eV per atom.

```
6
Lattice="3.226 0.000 0.000 0.000 3.226 0.000 0.000 0.000 12.597" Properties=species:S:1:pos:R:3 pbc="T T T"
Na 0.807 0.807 1.505
Na 2.420 2.420 11.092
V 0.807 0.807 5.772
V 2.420 2.420 6.825
In 0.807 0.807 8.691
In 2.420 2.420 3.906
```

***

# 2
Computed, not measured: an optimized crystal structure of Na3VIn at the PBE level of DFT.

Summary:
The energy relative to the elements comes out at 938.2 meV/atom. The value obtained for the energy above the most stable polymorph in this dataset is 0.002 eV per atom. The calculated volume comes out at 37.9 Å³ per atom. As for the space group: No. 221. The value obtained for the raw total energy is -2.225 eV per atom.

```
5
Lattice="5.745 0.000 0.000 0.000 5.745 0.000 0.000 0.000 5.745" Properties=species:S:1:pos:R:3 pbc="T T T"
Na 0.000 0.000 2.873
Na 0.000 2.873 0.000
Na 2.873 0.000 0.000
V 2.873 2.873 2.873
In 0.000 0.000 0.000
```

***

# 3
Computed, not measured: an optimized crystal structure of Na3VIn at the PBE level of DFT.

Summary:
The energy relative to the elements comes out at 935.9 meV/atom. The value obtained for the energy above the most stable polymorph in this dataset is 0.000 eV per atom. The calculated volume comes out at 36.8 Å³ per atom. As for the space group: No. 221. The value obtained for the raw total energy is -2.227 eV per atom.

```
5
Lattice="5.688 0.000 0.000 0.000 5.688 0.000 0.000 0.000 5.688" Properties=species:S:1:pos:R:3 pbc="T T T"
Na 0.000 0.000 2.844
Na 0.000 2.844 0.000
Na 2.844 0.000 0.000
V 0.000 0.000 0.000
In 2.844 2.844 2.844
```

***

# 4
Computed, not measured: an optimized crystal structure of NaV3In at the PBE level of DFT.

Summary:
The energy relative to the elements comes out at 1556.1 meV/atom. The value obtained for the energy above the most stable polymorph in this dataset is 0.000 eV per atom. The calculated volume comes out at 28.7 Å³ per atom. As for the space group: No. 221. The value obtained for the raw total energy is -4.727 eV per atom.

```
5
Lattice="5.235 0.000 0.000 0.000 5.235 0.000 0.000 0.000 5.235" Properties=species:S:1:pos:R:3 pbc="T T T"
Na 0.000 0.000 0.000
V 0.000 2.618 2.618
V 2.618 0.000 2.618
V 2.618 2.618 0.000
In 2.618 2.618 2.618
```

***

# 5
Computed, not measured: an optimized crystal structure of NaV2In at the PBE level of DFT.

Summary:
The energy relative to the elements comes out at 1082.6 meV/atom. The calculated volume comes out at 19.6 Å³ per atom. As for the space group: No. 122. The value obtained for the raw total energy is -4.491 eV per atom.

```
8
Lattice="-3.818 3.818 2.688 3.818 -3.818 2.688 3.818 3.818 -2.688" Properties=species:S:1:pos:R:3 pbc="T T T"
Na 0.000 0.000 0.000
Na 0.000 3.818 1.344
V 1.909 -1.836 2.016
V 1.982 1.909 0.672
V 1.909 5.654 -0.672
V 1.836 1.909 3.360
In 3.818 0.000 1.344
In 0.000 0.000 2.688
```

***

# 6
Computed, not measured: an optimized crystal structure of NaV3In at the PBE level of DFT.

Summary:
The energy relative to the elements comes out at 1903.8 meV/atom. The value obtained for the energy above the most stable polymorph in this dataset is 0.348 eV per atom. The calculated volume comes out at 18.2 Å³ per atom. As for the space group: No. 221. The value obtained for the raw total energy is -4.379 eV per atom.

```
5
Lattice="4.500 0.000 0.000 0.000 4.500 0.000 0.000 0.000 4.500" Properties=species:S:1:pos:R:3 pbc="T T T"
Na 0.000 0.000 0.000
V 0.000 0.000 2.250
V 0.000 2.250 0.000
V 2.250 0.000 0.000
In 2.250 2.250 2.250
```

***

# 7
Computed, not measured: an optimized crystal structure of NaV2In2 at the PBE level of DFT.

Summary:
The energy relative to the elements comes out at 260.6 meV/atom. The calculated volume comes out at 20.2 Å³ per atom. As for the space group: No. 127. The value obtained for the raw total energy is -4.746 eV per atom.

```
10
Lattice="8.065 0.000 0.000 0.000 8.065 0.000 0.000 0.000 3.099" Properties=species:S:1:pos:R:3 pbc="T T T"
Na 0.000 0.000 0.000
Na 4.033 4.033 0.000
V 0.701 3.332 0.000
V 3.332 7.365 0.000
V 4.733 0.701 0.000
V 7.365 4.733 0.000
In 1.636 5.669 1.549
In 2.397 1.636 1.549
In 5.669 6.429 1.549
In 6.429 2.397 1.549
```

***

# 8
Computed, not measured: an optimized crystal structure of NaIn3W at the PBE level of DFT.

Summary:
The energy relative to the elements comes out at 436.8 meV/atom. The value obtained for the energy above the most stable polymorph in this dataset is 0.000 eV per atom. The calculated volume comes out at 30.3 Å³ per atom. As for the space group: No. 221. The value obtained for the raw total energy is -4.061 eV per atom.

```
5
Lattice="5.329 0.000 0.000 0.000 5.329 0.000 0.000 0.000 5.329" Properties=species:S:1:pos:R:3 pbc="T T T"
Na 0.000 0.000 0.000
In 0.000 2.665 2.665
In 2.665 0.000 2.665
In 2.665 2.665 0.000
W 2.665 2.665 2.665
```

***

# 9
Computed, not measured: an optimized crystal structure of NaInW2 at the PBE level of DFT.

Summary:
The energy relative to the elements comes out at 1609.0 meV/atom. The calculated volume comes out at 21.0 Å³ per atom. As for the space group: No. 122. The value obtained for the raw total energy is -5.882 eV per atom.

```
8
Lattice="-4.073 4.073 2.535 4.073 -4.073 2.535 4.073 4.073 -2.535" Properties=species:S:1:pos:R:3 pbc="T T T"
Na 0.000 0.000 0.000
Na 0.000 4.073 1.268
In 4.073 0.000 1.268
In 0.000 0.000 2.535
W 2.036 -1.704 1.902
W 2.369 2.036 0.634
W 2.036 5.776 -0.634
W 1.704 2.036 3.169
```

***

# 10
Computed, not measured: an optimized crystal structure of NaYIn2 at the PBE level of DFT.

Summary:
The energy relative to the elements comes out at -322.0 meV/atom. The value obtained for the energy above the most stable polymorph in this dataset is 0.000 eV per atom. The calculated volume comes out at 26.2 Å³ per atom. As for the space group: No. 123. The value obtained for the raw total energy is -3.637 eV per atom.

```
4
Lattice="5.199 0.000 0.000 0.000 5.199 0.000 0.000 0.000 3.878" Properties=species:S:1:pos:R:3 pbc="T T T"
Na 0.000 0.000 0.000
Y 2.600 2.600 0.000
In 0.000 2.600 1.939
In 2.600 0.000 1.939
```

***

# 11
Computed, not measured: an optimized crystal structure of NaY5In3 at the PBE level of DFT.

Summary:
The energy relative to the elements comes out at -353.4 meV/atom. The calculated volume comes out at 28.3 Å³ per atom. As for the space group: No. 193. The value obtained for the raw total energy is -5.004 eV per atom.

```
18
Lattice="9.358 0.000 0.000 -4.679 8.105 0.000 0.000 0.000 6.705" Properties=species:S:1:pos:R:3 pbc="T T T"
Na 0.000 0.000 0.000
Na 0.000 0.000 3.353
Y -1.475 2.554 1.676
Y -3.205 5.550 5.029
Y 2.949 0.000 1.676
Y 1.475 2.554 5.029
Y 0.000 5.403 0.000
Y 0.000 5.403 3.353
Y 4.679 2.702 0.000
Y 4.679 2.702 3.353
Y 6.409 0.000 5.029
Y 3.205 5.550 1.676
In -1.643 2.846 5.029
In -3.036 5.258 1.676
In 3.287 0.000 5.029
In 1.643 2.846 1.676
In 6.072 0.000 1.676
In 3.036 5.258 5.029
```

***

# 12
Computed, not measured: an optimized crystal structure of NaY5In6 at the PBE level of DFT.

Summary:
The energy relative to the elements comes out at -432.9 meV/atom. The calculated volume comes out at 26.5 Å³ per atom. As for the space group: No. 10. The value obtained for the raw total energy is -4.605 eV per atom.

```
12
Lattice="5.304 0.000 0.000 0.000 7.514 0.000 -2.644 0.000 7.993" Properties=species:S:1:pos:R:3 pbc="T T T"
Na 0.000 0.000 0.000
Y 0.000 3.757 0.000
Y 0.008 0.000 5.364
Y 0.009 3.757 5.368
Y 2.653 0.000 2.629
Y 2.652 3.757 2.625
In 0.002 1.867 2.651
In 0.002 5.647 2.651
In 2.652 1.831 0.000
In 2.652 5.683 0.000
In 2.659 1.867 5.343
In 2.659 5.647 5.343
```

***

# 13
Computed, not measured: an optimized crystal structure of NaYIn2 at the PBE level of DFT.

Summary:
The energy relative to the elements comes out at -281.8 meV/atom. The value obtained for the energy above the most stable polymorph in this dataset is 0.040 eV per atom. The calculated volume comes out at 26.2 Å³ per atom. As for the space group: No. 225. The value obtained for the raw total energy is -3.597 eV per atom.

```
4
Lattice="0.000 3.741 3.741 3.741 0.000 3.741 3.741 3.741 0.000" Properties=species:S:1:pos:R:3 pbc="T T T"
Na 0.000 0.000 0.000
Y 3.741 3.741 3.741
In 1.870 1.870 1.870
In 5.611 5.611 5.611
```

***

# 14
Computed, not measured: an optimized crystal structure of NaYIn6 at the PBE level of DFT.

Summary:
The energy relative to the elements comes out at -227.4 meV/atom. The calculated volume comes out at 25.5 Å³ per atom. As for the space group: No. 123. The value obtained for the raw total energy is -3.254 eV per atom.

```
8
Lattice="4.651 0.000 0.000 0.000 4.651 0.000 0.000 0.000 9.445" Properties=species:S:1:pos:R:3 pbc="T T T"
Na 0.000 0.000 0.000
Y 0.000 0.000 4.722
In 0.000 2.326 2.353
In 0.000 2.326 7.092
In 2.326 0.000 2.353
In 2.326 0.000 7.092
In 2.326 2.326 0.000
In 2.326 2.326 4.722
```

***

# 15
Computed, not measured: an optimized crystal structure of NaY4In3 at the PBE level of DFT.

Summary:
The energy relative to the elements comes out at -347.5 meV/atom. The calculated volume comes out at 27.2 Å³ per atom. As for the space group: No. 139. The value obtained for the raw total energy is -4.771 eV per atom.

```
8
Lattice="-2.623 2.623 7.916 2.623 -2.623 7.916 2.623 2.623 -7.916" Properties=species:S:1:pos:R:3 pbc="T T T"
Na 0.000 0.000 0.000
Y 2.623 0.000 2.038
Y 2.623 0.000 5.877
Y 0.000 2.623 2.038
Y 0.000 2.623 5.877
In 0.000 0.000 3.906
In 0.000 0.000 7.916
In 0.000 0.000 11.926
```

***

# 16
Computed, not measured: an optimized crystal structure of NaY3In4 at the PBE level of DFT.

Summary:
The energy relative to the elements comes out at -397.7 meV/atom. The calculated volume comes out at 26.5 Å³ per atom. As for the space group: No. 166. The value obtained for the raw total energy is -4.356 eV per atom.

```
8
Lattice="2.645 1.527 8.738 -2.645 1.527 8.738 0.000 -3.055 8.738" Properties=species:S:1:pos:R:3 pbc="T T T"
Na 0.000 0.000 0.000
Y 0.000 0.000 6.650
Y 0.000 0.000 13.108
Y 0.000 0.000 19.565
In 0.000 0.000 3.273
In 0.000 0.000 9.845
In 0.000 0.000 16.370
In 0.000 0.000 22.942
```

***

# 17
Computed, not measured: an optimized crystal structure of NaY2In2 at the PBE level of DFT.

Summary:
The energy relative to the elements comes out at 12.1 meV/atom. The value obtained for the energy above the most stable polymorph in this dataset is 0.286 eV per atom. The calculated volume comes out at 32.6 Å³ per atom. As for the space group: No. 139. The value obtained for the raw total energy is -3.933 eV per atom.

```
5
Lattice="-2.418 2.418 6.972 2.418 -2.418 6.972 2.418 2.418 -6.972" Properties=species:S:1:pos:R:3 pbc="T T T"
Na 0.000 0.000 0.000
Y 2.418 0.000 3.486
Y 0.000 2.418 3.486
In 0.000 0.000 5.585
In 0.000 0.000 8.358
```

***

# 18
Computed, not measured: an optimized crystal structure of NaY2In2 at the PBE level of DFT.

Summary:
The energy relative to the elements comes out at -222.5 meV/atom. The value obtained for the energy above the most stable polymorph in this dataset is 0.052 eV per atom. The calculated volume comes out at 29.7 Å³ per atom. As for the space group: No. 127. The value obtained for the raw total energy is -4.167 eV per atom.

```
10
Lattice="9.295 0.000 0.000 0.000 9.295 0.000 0.000 0.000 3.442" Properties=species:S:1:pos:R:3 pbc="T T T"
Na 0.000 0.000 0.000
Na 4.648 4.648 0.000
Y 1.182 3.466 0.000
Y 3.466 8.114 0.000
Y 5.829 1.182 0.000
Y 8.114 5.829 0.000
In 1.610 6.257 1.721
In 3.038 1.610 1.721
In 6.257 7.686 1.721
In 7.686 3.038 1.721
```

***

# 19
Computed, not measured: an optimized crystal structure of NaYIn2 at the PBE level of DFT.

Summary:
The energy relative to the elements comes out at 81.4 meV/atom. The value obtained for the energy above the most stable polymorph in this dataset is 0.403 eV per atom. The calculated volume comes out at 29.9 Å³ per atom. As for the space group: No. 166. The value obtained for the raw total energy is -3.234 eV per atom.

```
4
Lattice="1.708 0.986 11.829 -1.708 0.986 11.829 0.000 -1.972 11.829" Properties=species:S:1:pos:R:3 pbc="T T T"
Na 0.000 0.000 0.000
Y 0.000 0.000 17.744
In 0.000 0.000 14.584
In 0.000 0.000 20.904
```

***

# 20
Computed, not measured: an optimized crystal structure of NaYIn2 at the PBE level of DFT.

Summary:
The energy relative to the elements comes out at 260.2 meV/atom. The value obtained for the energy above the most stable polymorph in this dataset is 0.582 eV per atom. The calculated volume comes out at 30.6 Å³ per atom. As for the space group: No. 71. The value obtained for the raw total energy is -3.055 eV per atom.

```
4
Lattice="-1.662 2.980 6.168 1.662 -2.980 6.168 1.662 2.980 -6.168" Properties=species:S:1:pos:R:3 pbc="T T T"
Na 0.000 0.000 0.000
Y 0.000 0.000 6.168
In 0.000 0.000 2.990
In 0.000 0.000 9.346
```